Entry 1:
Compound: LiMg2Sc
Source: the Alexandria database
Functional: PBE-GGA
Structure: relaxed

As for the space-group type: I-42d (122). For the final energy, the calculation gives -10.47 eV per formula unit. As for the total magnetization: 0.2 μB per formula unit. The formation energy comes out at 0.240 eV/atom. The value obtained for the polymorph energy (0 for the lowest one) is 275 meV/atom.

Structure (CIF):
```
data_LiMg2Sc
_symmetry_space_group_name_H-M 'P 1'
_symmetry_Int_Tables_number 1
_cell_length_a 7.799
_cell_length_b 7.799
_cell_length_c 6.280
_cell_angle_alpha 51.62
_cell_angle_beta 51.62
_cell_angle_gamma 90.00
loop_
_symmetry_equiv_pos_as_xyz
'x,y,z'
loop_
_atom_site_label
_atom_site_type_symbol
_atom_site_fract_x
_atom_site_fract_y
_atom_site_fract_z
Sc1 Sc 0.000 0.000 0.000
Sc2 Sc 0.750 0.250 0.500
Mg1 Mg 0.590 0.125 0.250
Mg2 Mg 0.160 0.625 0.250
Mg3 Mg 0.375 0.410 0.750
Mg4 Mg 0.875 0.840 0.750
Li1 Li 0.500 0.500 0.000
Li2 Li 0.250 0.750 0.500
```


Entry 2:
Compound: Li2MgSc
Source: the Alexandria database
Functional: PBE-GGA
Structure: relaxed

As for the space-group type: I-4m2 (119). For the final energy, the calculation gives -11.23 eV per formula unit. As for the total magnetization: 0.0 μB per formula unit. The formation energy comes out at 0.131 eV/atom.

Structure (CIF):
```
data_Li2MgSc
_symmetry_space_group_name_H-M 'P 1'
_symmetry_Int_Tables_number 1
_cell_length_a 5.349
_cell_length_b 5.349
_cell_length_c 5.349
_cell_angle_alpha 130.80
_cell_angle_beta 130.80
_cell_angle_gamma 72.13
loop_
_symmetry_equiv_pos_as_xyz
'x,y,z'
loop_
_atom_site_label
_atom_site_type_symbol
_atom_site_fract_x
_atom_site_fract_y
_atom_site_fract_z
Li1 Li 0.000 0.000 0.000
Li2 Li 0.250 0.750 0.500
Mg1 Mg 0.500 0.500 0.000
Sc1 Sc 0.750 0.250 0.500
```


Entry 3:
Compound: Li2MgSc
Source: the Alexandria database
Functional: PBE-GGA
Structure: relaxed

As for the space-group type: Cmmm (65). For the final energy, the calculation gives -11.37 eV per formula unit. As for the total magnetization: 0.0 μB per formula unit. The formation energy comes out at 0.097 eV/atom.

Structure (CIF):
```
data_Li2MgSc
_symmetry_space_group_name_H-M 'P 1'
_symmetry_Int_Tables_number 1
_cell_length_a 3.036
_cell_length_b 3.036
_cell_length_c 10.222
_cell_angle_alpha 90.00
_cell_angle_beta 90.00
_cell_angle_gamma 112.36
loop_
_symmetry_equiv_pos_as_xyz
'x,y,z'
loop_
_atom_site_label
_atom_site_type_symbol
_atom_site_fract_x
_atom_site_fract_y
_atom_site_fract_z
Li1 Li 0.000 0.000 0.005
Li2 Li 0.000 0.000 0.495
Mg1 Mg 0.500 0.500 0.250
Sc1 Sc 0.500 0.500 0.750
```